one:
A plane-wave DFT calculation with PBE was carried out for crystalline Zr3ZnH3 at its relaxed geometry.

Cell lengths 5.7383, 5.7383, 5.7383 Å; angles 90.00, 90.00, 90.00 degrees
Atoms (fractional coordinates):
H 0.2500 0.0000 0.5000
H 0.0000 0.5000 0.2500
H 0.5000 0.7500 0.0000
H 0.7500 0.0000 0.5000
H 0.0000 0.5000 0.7500
H 0.5000 0.2500 0.0000
Zn 0.5000 0.5000 0.5000
Zn 0.0000 0.0000 0.0000
Zr 0.0000 0.2500 0.5000
Zr 0.0000 0.7500 0.5000
Zr 0.5000 0.0000 0.7500
Zr 0.7500 0.5000 0.0000
Zr 0.5000 0.0000 0.2500
Zr 0.2500 0.5000 0.0000



two:
A plane-wave DFT calculation with PBE was carried out for crystalline Zr3ZnH3 at its relaxed geometry.

Cell lengths 5.8965, 5.8965, 7.3207 Å; angles 66.25, 66.25, 60.00 degrees
Atoms (fractional coordinates):
Zr 0.2218 0.5892 0.2804
Zr 0.9086 0.2218 0.2804
Zr 0.5892 0.9086 0.2804
Zr 0.4108 0.0914 0.7196
Zr 0.0914 0.7782 0.7196
Zr 0.7782 0.4108 0.7196
Zn 0.3339 0.3339 0.9984
Zn 0.6661 0.6661 0.0016
H 0.4771 0.7862 0.6024
H 0.7862 0.1342 0.6024
H 0.1342 0.4771 0.6024
H 0.8658 0.5229 0.3976
H 0.2138 0.8658 0.3976
H 0.5229 0.2138 0.3976



Which of them is least stable? Easy: two.



one:
A plane-wave DFT calculation with PBE was carried out for crystalline Hf at its relaxed geometry.

Cell lengths 15.3561, 3.1953, 5.4861 Å; angles 90.00, 90.00, 90.00 degrees
Atoms (fractional coordinates):
Hf 0.8364 0.0000 0.1962
Hf 0.1636 0.0000 0.1962
Hf 0.8364 0.5000 0.6962
Hf 0.1636 0.5000 0.6962
Hf 0.3365 0.0000 0.6962
Hf 0.6636 0.0000 0.6962
Hf 0.3365 0.5000 0.1962
Hf 0.6636 0.5000 0.1962
Hf 0.0000 0.0000 0.8586
Hf 0.0000 0.5000 0.3586
Hf 0.5000 0.0000 0.3586
Hf 0.5000 0.5000 0.8586



two:
A plane-wave DFT calculation with PBE was carried out for crystalline Hf at its relaxed geometry.

Cell lengths 10.4171, 10.4171, 3.0716 Å; angles 90.00, 90.00, 120.00 degrees
Atoms (fractional coordinates):
Hf 0.7700 0.0568 0.2500
Hf 0.7133 0.7700 0.7500
Hf 0.9432 0.7133 0.2500
Hf 0.2300 0.9432 0.7500
Hf 0.2867 0.2300 0.2500
Hf 0.0568 0.2867 0.7500
Hf 0.8641 0.3863 0.2500
Hf 0.4778 0.8641 0.7500
Hf 0.6137 0.4778 0.2500
Hf 0.1359 0.6137 0.7500
Hf 0.5222 0.1359 0.2500
Hf 0.3863 0.5222 0.7500



three:
A plane-wave DFT calculation with PBE was carried out for crystalline Hf at its relaxed geometry.

Cell lengths 8.6030, 8.6030, 8.6030 Å; angles 90.00, 90.00, 90.00 degrees
Atoms (fractional coordinates):
Hf 0.2019 0.2019 0.2019
Hf 0.2019 0.7981 0.7981
Hf 0.7981 0.2019 0.7981
Hf 0.7981 0.7981 0.2019
Hf 0.7019 0.7019 0.7019
Hf 0.7019 0.2981 0.2981
Hf 0.2981 0.7019 0.2981
Hf 0.2981 0.2981 0.7019
Hf 0.3833 0.3833 0.3833
Hf 0.3833 0.6167 0.6167
Hf 0.6167 0.3833 0.6167
Hf 0.6167 0.6167 0.3833
Hf 0.8833 0.8833 0.8833
Hf 0.8833 0.1167 0.1167
Hf 0.1167 0.8833 0.1167
Hf 0.1167 0.1167 0.8833



four:
A plane-wave DFT calculation with PBE was carried out for crystalline Hf at its relaxed geometry.

Cell lengths 3.1094, 11.6879, 4.9103 Å; angles 90.00, 90.00, 90.00 degrees
Atoms (fractional coordinates):
Hf 0.0000 0.8216 0.2500
Hf 0.0000 0.1784 0.7500
Hf 0.5000 0.3216 0.2500
Hf 0.5000 0.6784 0.7500
Hf 0.0000 0.5661 0.2500
Hf 0.0000 0.4339 0.7500
Hf 0.5000 0.0661 0.2500
Hf 0.5000 0.9339 0.7500



Which of them is least stable? Easy: three.



one:
A plane-wave DFT calculation with PBE was carried out for crystalline Hf at its relaxed geometry.

Cell lengths 11.0838, 11.0838, 3.1541 Å; angles 90.00, 90.00, 90.00 degrees
Atoms (fractional coordinates):
Hf 0.5421 0.1627 0.0000
Hf 0.4579 0.8373 0.0000
Hf 0.8373 0.5421 0.0000
Hf 0.1627 0.4579 0.0000
Hf 0.0421 0.6627 0.5000
Hf 0.9579 0.3373 0.5000
Hf 0.3373 0.0421 0.5000
Hf 0.6627 0.9579 0.5000
Hf 0.1832 0.8547 0.0000
Hf 0.8168 0.1453 0.0000
Hf 0.1453 0.1832 0.0000
Hf 0.8547 0.8168 0.0000
Hf 0.6832 0.3547 0.5000
Hf 0.3168 0.6453 0.5000
Hf 0.6453 0.6832 0.5000
Hf 0.3547 0.3168 0.5000



two:
A plane-wave DFT calculation with PBE was carried out for crystalline Hf at its relaxed geometry.

Cell lengths 2.8957, 2.8957, 2.8957 Å; angles 90.00, 90.00, 90.00 degrees
Atoms (fractional coordinates):
Hf 0.0000 0.0000 0.0000



three:
A plane-wave DFT calculation with PBE was carried out for crystalline Hf at its relaxed geometry.

Cell lengths 7.8914, 7.8914, 7.8914 Å; angles 90.00, 90.00, 90.00 degrees
Atoms (fractional coordinates):
Hf 0.2500 0.0000 0.5000
Hf 0.7500 0.0000 0.5000
Hf 0.0000 0.5000 0.2500
Hf 0.0000 0.5000 0.7500
Hf 0.5000 0.2500 0.0000
Hf 0.5000 0.7500 0.0000
Hf 0.0000 0.7500 0.5000
Hf 0.0000 0.2500 0.5000
Hf 0.7500 0.5000 0.0000
Hf 0.2500 0.5000 0.0000
Hf 0.5000 0.0000 0.7500
Hf 0.5000 0.0000 0.2500



four:
A plane-wave DFT calculation with PBE was carried out for crystalline Hf at its relaxed geometry.

Cell lengths 6.5091, 6.5091, 6.5091 Å; angles 90.00, 90.00, 90.00 degrees
Atoms (fractional coordinates):
Hf 0.0000 0.0000 0.0000
Hf 0.0000 0.5000 0.5000
Hf 0.5000 0.0000 0.5000
Hf 0.5000 0.5000 0.0000
Hf 0.2500 0.2500 0.2500
Hf 0.2500 0.7500 0.7500
Hf 0.7500 0.2500 0.7500
Hf 0.7500 0.7500 0.2500



Which of them is least stable? Easy: three.



one:
A plane-wave DFT calculation with PBE was carried out for crystalline Hf at its relaxed geometry.

Cell lengths 3.1974, 3.1974, 10.1762 Å; angles 90.00, 90.00, 120.00 degrees
Atoms (fractional coordinates):
Hf 0.3333 0.6667 0.2500
Hf 0.6667 0.3333 0.7500
Hf 0.0000 0.0000 0.0000
Hf 0.0000 0.0000 0.5000



two:
A plane-wave DFT calculation with PBE was carried out for crystalline Hf at its relaxed geometry.

Cell lengths 3.1614, 3.1614, 3.1614 Å; angles 60.00, 60.00, 60.00 degrees
Atoms (fractional coordinates):
Hf 0.0000 0.0000 0.0000



three:
A plane-wave DFT calculation with PBE was carried out for crystalline Hf at its relaxed geometry.

Cell lengths 5.6983, 5.6983, 2.9830 Å; angles 90.00, 90.00, 90.00 degrees
Atoms (fractional coordinates):
Hf 0.1788 0.6788 0.0000
Hf 0.6788 0.8212 0.0000
Hf 0.3212 0.1788 0.0000
Hf 0.8212 0.3212 0.0000



Which of them is least stable? Easy: three.